# AsC GGA-PBE relaxed
data_AsC
_cell_length_a 2.5866
_cell_length_b 2.5866
_cell_length_c 7.8433
_cell_angle_alpha 90.00
_cell_angle_beta 90.00
_cell_angle_gamma 90.00
_space_group_name_H-M_alt 'P 4/n m m'
_space_group_IT_number 129
loop_
_space_group_symop_operation_xyz
'x,y,z'
'-x,-y,-z'
'-y+1/2,x,z'
'y+1/2,-x,-z'
'-x+1/2,-y+1/2,z'
'x+1/2,y+1/2,-z'
'y,-x+1/2,z'
'-y,x+1/2,-z'
'x+1/2,-y,-z'
'-x+1/2,y,z'
'-y,-x,-z'
'y,x,z'
'-x,y+1/2,-z'
'x,-y+1/2,z'
'y+1/2,x+1/2,-z'
'-y+1/2,-x+1/2,z'
loop_
_atom_site_label
_atom_site_fract_x
_atom_site_fract_y
_atom_site_fract_z
As1 0.2500 0.2500 0.2222
C1 0.2500 0.2500 0.4771
# Mass density ... 5.50 Mg/m³
# Volume ... 26.24 Å³/f.u.
# E_form ... 1.3991 eV per atom